*one*
# LaSm2Ho4 (GGA-PBE, optimized geometry)
# theoretical density: 7.91 g cm⁻³
# total magnetization: 0.0 μB/cell
data_LaSm2Ho4
_chemical_formula_sum 'La2 Sm4 Ho8'
_cell_length_a 7.1098
_cell_length_b 8.6588
_cell_length_c 8.8815
_cell_angle_alpha 114.32
_cell_angle_beta 101.61
_cell_angle_gamma 101.92
_space_group_name_H-M_alt 'P 1'
_space_group_IT_number 1
loop_
_space_group_symop_operation_xyz
'x,y,z'
loop_
_atom_site_label
_atom_site_type_symbol
_atom_site_fract_x
_atom_site_fract_y
_atom_site_fract_z
La1 La 0.0000 0.0000 0.0000
La2 La 0.3010 0.6635 0.5464
Sm1 Sm 0.2108 0.1284 0.7045
Sm2 Sm 0.5248 0.8232 0.2682
Sm3 Sm 0.8034 0.6667 0.5401
Sm4 Sm 0.8789 0.3997 0.1286
Ho1 Ho 0.0258 0.8244 0.2760
Ho2 Ho 0.1045 0.5537 0.8695
Ho3 Ho 0.3862 0.4029 0.1348
Ho4 Ho 0.4144 0.2286 0.4116
Ho5 Ho 0.4992 0.9995 0.9972
Ho6 Ho 0.6069 0.5547 0.8663
Ho7 Ho 0.7037 0.1176 0.6997
Ho8 Ho 0.9088 0.2312 0.4126

***

*two*
# LaSm2Ho4 (GGA-PBE, optimized geometry)
# theoretical density: 7.67 g cm⁻³
# total magnetization: 0.0 μB/cell
data_LaSm2Ho4
_chemical_formula_sum 'La2 Sm4 Ho8'
_cell_length_a 4.5767
_cell_length_b 4.5767
_cell_length_c 22.7222
_cell_angle_alpha 90.00
_cell_angle_beta 90.00
_cell_angle_gamma 90.00
_space_group_name_H-M_alt 'I 4/m m m'
_space_group_IT_number 139
_space_group_name_Hall '-I 4 2'
loop_
_atom_site_label
_atom_site_type_symbol
_atom_site_fract_x
_atom_site_fract_y
_atom_site_fract_z
La1 La 0.0000 0.0000 0.0000
Sm1 Sm 0.0000 0.0000 0.3970
Ho1 Ho 0.0000 0.0000 0.1414
Ho2 Ho 0.0000 0.5000 0.2500

***

*one* comes first in stability; the runner-up is 211 meV per atom higher.

***

*one*
# LaSm4Ho (GGA-PBE, optimized geometry)
# theoretical density: 7.38 g cm⁻³
# total magnetization: 0.0 μB/cell
data_LaSm4Ho
_chemical_formula_sum 'La1 Sm4 Ho1'
_cell_length_a 3.6466
_cell_length_b 5.1046
_cell_length_c 10.9468
_cell_angle_alpha 90.00
_cell_angle_beta 90.00
_cell_angle_gamma 90.00
_space_group_name_H-M_alt 'P m m m'
_space_group_IT_number 47
loop_
_space_group_symop_operation_xyz
'x,y,z'
'-x,-y,-z'
'-x,-y,z'
'x,y,-z'
'x,-y,-z'
'-x,y,z'
'-x,y,-z'
'x,-y,z'
loop_
_atom_site_label
_atom_site_type_symbol
_atom_site_fract_x
_atom_site_fract_y
_atom_site_fract_z
La1 La 0.0000 0.0000 0.0000
Sm1 Sm 0.0000 0.0000 0.3365
Sm2 Sm 0.5000 0.5000 0.1719
Ho1 Ho 0.5000 0.5000 0.5000

***

*two*
# LaSm4Ho (GGA-PBE, optimized geometry)
# theoretical density: 7.11 g cm⁻³
# total magnetization: 0.0 μB/cell
data_LaSm4Ho
_chemical_formula_sum 'La4 Sm16 Ho4'
_cell_length_a 9.4571
_cell_length_b 9.4571
_cell_length_c 9.4571
_cell_angle_alpha 90.00
_cell_angle_beta 90.00
_cell_angle_gamma 90.00
_space_group_name_H-M_alt 'F -4 3 m'
_space_group_IT_number 216
_space_group_name_Hall 'F -4 2 3'
loop_
_atom_site_label
_atom_site_type_symbol
_atom_site_fract_x
_atom_site_fract_y
_atom_site_fract_z
La1 La 0.0000 0.0000 0.0000
Sm1 Sm 0.1242 0.1242 0.6242
Ho1 Ho 0.2500 0.2500 0.2500

***

*one* comes first in stability; the runner-up is 232 meV per atom higher.

***

*one*
# La4Sm2Ho5 (GGA-PBE, optimized geometry)
# theoretical density: 7.51 g cm⁻³
# total magnetization: 0.0 μB/cell
data_La4Sm2Ho5
_chemical_formula_sum 'La8 Sm4 Ho10'
_cell_length_a 17.8135
_cell_length_b 3.5504
_cell_length_c 11.7960
_cell_angle_alpha 90.00
_cell_angle_beta 94.51
_cell_angle_gamma 90.00
_space_group_name_H-M_alt 'C 1 2/m 1'
_space_group_IT_number 12
loop_
_space_group_symop_operation_xyz
'x,y,z'
'-x,-y,-z'
'-x,y,-z'
'x,-y,z'
'x+1/2,y+1/2,z'
'-x+1/2,-y+1/2,-z'
'-x+1/2,y+1/2,-z'
'x+1/2,-y+1/2,z'
loop_
_atom_site_label
_atom_site_type_symbol
_atom_site_fract_x
_atom_site_fract_y
_atom_site_fract_z
La1 La 0.0368 0.0000 0.2606
La2 La 0.1410 0.5000 0.7968
Sm1 Sm 0.2144 0.5000 0.3545
Ho1 Ho 0.0000 0.5000 0.0000
Ho2 Ho 0.0968 0.0000 0.5404
Ho3 Ho 0.1779 0.0000 0.0688

***

*two*
# La4Sm2Ho5 (GGA-PBE, optimized geometry)
# theoretical density: 7.38 g cm⁻³
# total magnetization: 0.1 μB/cell
data_La4Sm2Ho5
_chemical_formula_sum 'La8 Sm4 Ho10'
_cell_length_a 24.4652
_cell_length_b 3.5443
_cell_length_c 8.7410
_cell_angle_alpha 90.00
_cell_angle_beta 93.99
_cell_angle_gamma 90.00
_space_group_name_H-M_alt 'C 1 2/m 1'
_space_group_IT_number 12
loop_
_space_group_symop_operation_xyz
'x,y,z'
'-x,-y,-z'
'-x,y,-z'
'x,-y,z'
'x+1/2,y+1/2,z'
'-x+1/2,-y+1/2,-z'
'-x+1/2,y+1/2,-z'
'x+1/2,-y+1/2,z'
loop_
_atom_site_label
_atom_site_type_symbol
_atom_site_fract_x
_atom_site_fract_y
_atom_site_fract_z
La1 La 0.0407 0.0000 0.3409
La2 La 0.0902 0.5000 0.6980
Sm1 Sm 0.2260 0.5000 0.8271
Ho1 Ho 0.0000 0.5000 0.0000
Ho2 Ho 0.1321 0.0000 0.0512
Ho3 Ho 0.1882 0.0000 0.4702

***

*one* comes first in stability; the runner-up is 36 meV per atom higher.